# 1
The following is a PBE calculation of an optimized crystal structure of Pm2Tm3Al, from Alexandria via LeMat-Bulk.

Properties
formation energy: -0.084 eV per atom
space-group type: Cmmm (65)
magnetic moment: 0.0 Bohr magnetons per cell

Cell lengths 4.8451, 4.7936, 7.8049 Å; angles 107.88, 90.00, 90.00 degrees
With the nearest neighbours (Å) after each atom.
Sites, in units of the cell vectors:
Pm 0.0000 0.6593 0.3186  2 Al 3.37, 8 Tm 3.39-3.59, 2 Pm 3.61
Pm 0.0000 0.3407 0.6814  2 Al 3.37, 8 Tm 3.39-3.59, 2 Pm 3.61
Tm 0.5000 0.1621 0.3241  4 Tm 3.40-3.55, 6 Pm 3.41-3.59, 2 Al 3.42
Tm 0.5000 0.5000 0.0000  4 Pm 3.39, 4 Tm 3.40, 4 Al 3.41
Tm 0.5000 0.8379 0.6759  4 Tm 3.40-3.55, 6 Pm 3.41-3.59, 2 Al 3.42
Al 0.0000 0.0000 0.0000  4 Pm 3.37, 8 Tm 3.41-3.42


# 2
The following is a PBE calculation of an optimized crystal structure of Pm6Tm8Al, from Alexandria via LeMat-Bulk.

Properties
formation energy: 0.080 eV per atom
space-group type: P-3 (147)
magnetic moment: 0.0 Bohr magnetons per cell

Cell lengths 6.1748, 9.4255, 9.4255 Å; angles 120.00, 90.00, 90.00 degrees
With the nearest neighbours (Å) after each atom.
Sites, in units of the cell vectors:
Pm 0.6956 0.6355 0.0898  1 Pm 3.30, 6 Tm 3.38-3.63
Pm 0.6956 0.9102 0.5457  1 Pm 3.30, 6 Tm 3.38-3.63
Pm 0.6956 0.4543 0.3645  1 Pm 3.30, 6 Tm 3.38-3.63
Pm 0.3044 0.3645 0.9102  1 Pm 3.30, 6 Tm 3.38-3.63
Pm 0.3044 0.0898 0.4543  1 Pm 3.30, 6 Tm 3.38-3.63
Pm 0.3044 0.5457 0.6355  1 Pm 3.30, 6 Tm 3.38-3.63
Tm 0.7990 0.0402 0.2572  1 Al 2.92
Tm 0.7990 0.7428 0.7830  1 Al 2.92
Tm 0.7990 0.2170 0.9598  1 Al 2.92
Tm 0.2010 0.9598 0.7428  1 Al 2.92
Tm 0.2010 0.2572 0.2170  1 Al 2.92
Tm 0.2010 0.7830 0.0402  1 Al 2.92
Tm 0.8091 0.3333 0.6667  3 Tm 3.45, 9 Pm 3.63-3.79
Tm 0.1909 0.6667 0.3333  3 Tm 3.45, 9 Pm 3.63-3.79
Al 0.5000 0.0000 0.0000  6 Tm 2.92


# 3
The following is a PBE calculation of an optimized crystal structure of Pm3Tm12Al, from Alexandria via LeMat-Bulk.

Properties
formation energy: -0.012 eV per atom
space-group type: P4/mmm (123)
magnetic moment: 0.0 Bohr magnetons per cell

Cell lengths 4.9041, 4.9038, 19.8178 Å; angles 90.00, 90.00, 90.00 degrees
With the nearest neighbours (Å) after each atom.
Sites, in units of the cell vectors:
Pm 0.0000 0.0000 0.2461  12 Tm 3.47-3.56
Pm 0.0000 0.0000 0.5000  12 Tm 3.47-3.53
Pm 0.0000 0.0000 0.7539  12 Tm 3.47-3.56
Tm 0.5000 0.5000 0.0000  8 Tm 3.36, 4 Al 3.47
Tm 0.5000 0.5000 0.2410  4 Pm 3.47, 8 Tm 3.49-3.57
Tm 0.5000 0.5000 0.5000  4 Pm 3.47, 8 Tm 3.53
Tm 0.5000 0.5000 0.7590  4 Pm 3.47, 8 Tm 3.49-3.57
Tm 0.5000 0.0000 0.1159  8 Tm 3.36-3.49, 2 Al 3.36, 2 Pm 3.56
Tm 0.5000 0.0000 0.3718  8 Tm 3.47-3.57, 4 Pm 3.50-3.53
Tm 0.5000 0.0000 0.6282  8 Tm 3.47-3.57, 4 Pm 3.50-3.53
Tm 0.5000 0.0000 0.8841  8 Tm 3.36-3.49, 2 Al 3.36, 2 Pm 3.56
Tm 0.0000 0.5000 0.1159  2 Al 3.36, 8 Tm 3.36-3.49, 2 Pm 3.56
Tm 0.0000 0.5000 0.3718  8 Tm 3.47-3.57, 4 Pm 3.50-3.53
Tm 0.0000 0.5000 0.6282  8 Tm 3.47-3.57, 4 Pm 3.50-3.53
Tm 0.0000 0.5000 0.8841  2 Al 3.36, 8 Tm 3.36-3.49, 2 Pm 3.56
Al 0.0000 0.0000 0.0000  12 Tm 3.36-3.47


# 4
The following is a PBE calculation of an optimized crystal structure of Pm7TmAl4, from Alexandria via LeMat-Bulk.

Properties
formation energy: -0.066 eV per atom
space-group type: C2/m (12)
magnetic moment: 0.0 Bohr magnetons per cell

Cell lengths 5.6131, 9.2691, 7.5740 Å; angles 77.50, 68.25, 72.37 degrees
With the nearest neighbours (Å) after each atom.
Sites, in units of the cell vectors:
Pm 0.7935 0.8806 0.5324  4 Pm 3.23-3.57, 4 Al 3.33-3.48
Pm 0.2065 0.1194 0.4676  4 Pm 3.23-3.57, 4 Al 3.33-3.48
Pm 0.0654 0.6137 0.2556  5 Al 3.16-3.40, 2 Pm 3.23-3.44
Pm 0.9346 0.3863 0.7444  5 Al 3.16-3.40, 2 Pm 3.23-3.44
Pm 0.2937 0.6497 0.7630  4 Al 2.99-3.22
Pm 0.5000 0.0000 0.0000  2 Tm 2.81, 4 Al 2.95-3.03
Pm 0.7063 0.3503 0.2370  4 Al 2.99-3.22
Tm 0.0000 0.0000 0.0000  2 Pm 2.81
Al 0.5523 0.2402 0.6553  1 Al 2.76, 2 Pm 2.99-3.03
Al 0.4477 0.7598 0.3447  1 Al 2.76, 2 Pm 2.99-3.03
Al 0.6746 0.6684 0.9824  1 Al 2.76, 1 Pm 2.95
Al 0.3254 0.3316 0.0176  1 Al 2.76, 1 Pm 2.95


# 5
The following is a PBE calculation of an optimized crystal structure of PmTm3Al2, from Alexandria via LeMat-Bulk.

Properties
formation energy: -0.259 eV per atom
space-group type: P4/mmm (123)
magnetic moment: 0.0 Bohr magnetons per cell

Cell lengths 3.5155, 3.5155, 12.5389 Å; angles 90.00, 90.00, 90.00 degrees
With the nearest neighbours (Å) after each atom.
Sites, in units of the cell vectors:
Pm 0.5000 0.5000 0.5000  4 Pm 3.52, 8 Tm 3.59
Tm 0.0000 0.0000 0.0000  8 Al 3.10
Tm 0.0000 0.0000 0.7067  4 Al 3.09
Tm 0.0000 0.0000 0.2933  4 Al 3.09
Al 0.5000 0.5000 0.8529  8 Tm 3.09-3.10
Al 0.5000 0.5000 0.1471  8 Tm 3.09-3.10


# 6
The following is a PBE calculation of an optimized crystal structure of Pm5TmAl6, from Alexandria via LeMat-Bulk.

Properties
formation energy: -0.370 eV per atom
space-group type: Immm (71)
magnetic moment: 0.0 Bohr magnetons per cell

Cell lengths 5.2027, 7.3367, 9.0048 Å; angles 114.04, 106.79, 90.00 degrees
With the nearest neighbours (Å) after each atom.
Sites, in units of the cell vectors:
Tm 0.0000 0.0000 0.0000  8 Al 3.10-3.11
Al 0.8369 0.5954 0.6738  1 Tm 3.10, 7 Pm 3.15-3.23
Al 0.8369 0.0784 0.6738  1 Tm 3.10, 7 Pm 3.15-3.23
Al 0.5000 0.7666 0.0000  2 Tm 3.11, 6 Pm 3.18-3.25, 1 Al 3.42
Al 0.5000 0.2334 0.0000  2 Tm 3.11, 6 Pm 3.18-3.25, 1 Al 3.42
Al 0.1631 0.9216 0.3262  1 Tm 3.10, 7 Pm 3.15-3.23
Al 0.1631 0.4046 0.3262  1 Tm 3.10, 7 Pm 3.15-3.23
Pm 0.6720 0.1720 0.3439  8 Al 3.15-3.20
Pm 0.3362 0.3362 0.6725  8 Al 3.22-3.23
Pm 0.0000 0.5000 0.0000  8 Al 3.17-3.25
Pm 0.6638 0.6638 0.3275  8 Al 3.22-3.23
Pm 0.3280 0.8280 0.6561  8 Al 3.15-3.20